[1]
Compound: NdYSi4Os2
Source: OQMD via LeMat-Bulk
Functional: PBE
Structure: relaxed

Cell: 4.459 4.119 8.193 Å, 90.00 101.91 90.00°
Fractional coordinates of all 8 atoms:
Nd (0.587, 0.000, 0.699)
Os (0.884, 0.000, 0.116)
Os (0.118, 0.500, 0.887)
Si (0.336, 0.000, 0.007)
Si (0.962, 0.000, 0.409)
Si (0.039, 0.500, 0.590)
Si (0.666, 0.500, 0.997)
Y (0.408, 0.500, 0.295)

Computed properties:
As for the space group: Pm (6). As for the total energy: -61.3 eV per cell.

[2]
Compound: NdSnOs
Source: OQMD via LeMat-Bulk
Functional: PBE
Structure: relaxed

Cell: 4.881 4.881 4.881 Å, 60.00 60.00 60.00°
Last column: magnetic moment on the atom in μB.
Fractional coordinates of all 3 atoms:
Nd (0.000, 0.000, 0.000)  0.00
Os (0.250, 0.250, 0.250)  0.07
Sn (0.750, 0.750, 0.750)  0.01

Computed properties:
As for the space group: F-43m (216). As for the total energy: -17.3 eV per cell.

[3]
Compound: NdSnOs
Source: OQMD via LeMat-Bulk
Functional: PBE
Structure: relaxed

Cell: 4.743 4.743 4.743 Å, 60.00 60.00 60.00°
Fractional coordinates of all 3 atoms:
Nd (0.250, 0.250, 0.250)
Os (0.000, 0.000, 0.000)
Sn (0.750, 0.750, 0.750)

Computed properties:
As for the space group: F-43m (216). As for the total energy: -20.0 eV per cell.

[4]
Compound: SrNdOs
Source: OQMD via LeMat-Bulk
Functional: PBE
Structure: relaxed

Cell: 4.981 4.981 4.981 Å, 60.00 60.00 60.00°
Fractional coordinates of all 3 atoms:
Nd (0.250, 0.250, 0.250)
Os (0.000, 0.000, 0.000)
Sr (0.750, 0.750, 0.750)

Computed properties:
As for the space group: F-43m (216). As for the total energy: -16.6 eV per cell.